Material: ZrCuMo
Method: DFT, GGA-PBE
State: relaxed

The structure belongs to space group I4mm (No. 107); the cell edges are 2.7991, 2.7991 and 12.7082 Å and the angles 90.00°, 90.00° and 90.00°. The distinct sites, in fractional coordinates, are Zr at (0.0000, 0.0000, 0.0000), Cu at (0.0000, 0.0000, 0.6673) and Mo at (0.0000, 0.0000, 0.3133).

For the formation energy, the calculation gives 154 meV per atom. For the size of the total moment, the calculation gives 0.000 Bohr magnetons per cell. The value obtained for the density of states at the Fermi level is 6.03 states/eV per cell. The calculation puts the relative energy among the computed polymorphs at 227.4 meV/atom.